No. 1
A geometry-optimized BaY2Ir structure. Source: OQMD via LeMat-Bulk, functional PBE. Values from VASP.

SG = F-43m
Uncorrected energy = -22.5 eV/cell

Quantum ESPRESSO input file:
```
&SYSTEM
  ibrav = 0, nat = 4, ntyp = 3
/
ATOMIC_SPECIES
Ba 137.33 Ba.upf
Y 88.91 Y.upf
Ir 192.22 Ir.upf
CELL_PARAMETERS angstrom
0.000 3.775 3.775
3.775 0.000 3.775
3.775 3.775 0.000
ATOMIC_POSITIONS angstrom
Ba 0.000 0.000 0.000
Y 3.775 3.775 3.775
Y 5.663 5.663 5.663
Ir 1.888 1.888 1.888
```

No. 2
A geometry-optimized Ba2YIr structure. Source: OQMD via LeMat-Bulk, functional PBE. Values from VASP.

SG = F-43m
Uncorrected energy = -17.9 eV/cell

Quantum ESPRESSO input file:
```
&SYSTEM
  ibrav = 0, nat = 4, ntyp = 3
/
ATOMIC_SPECIES
Ba 137.33 Ba.upf
Y 88.91 Y.upf
Ir 192.22 Ir.upf
CELL_PARAMETERS angstrom
0.000 3.900 3.900
3.900 0.000 3.900
3.900 3.900 0.000
ATOMIC_POSITIONS angstrom
Ba 0.000 0.000 0.000
Ba 1.950 1.950 1.950
Y 3.900 3.900 3.900
Ir 5.850 5.850 5.850
```

No. 3
A geometry-optimized BaZn2Ir2 structure. Source: OQMD via LeMat-Bulk, functional PBE. Values from VASP.

SG = I4/mmm
E above lowest polymorph = 0 meV per atom

Quantum ESPRESSO input file:
```
&SYSTEM
  ibrav = 0, nat = 5, ntyp = 3
/
ATOMIC_SPECIES
Ba 137.33 Ba.upf
Zn 65.41 Zn.upf
Ir 192.22 Ir.upf
CELL_PARAMETERS angstrom
-2.229 2.229 5.177
2.229 -2.229 5.177
2.229 2.229 -5.177
ATOMIC_POSITIONS angstrom
Ba 0.000 0.000 0.000
Zn 2.229 0.000 2.589
Zn 0.000 2.229 2.589
Ir 0.000 0.000 3.952
Ir 0.000 0.000 6.403
```

No. 4
A geometry-optimized BaZn3Ir structure. Source: OQMD via LeMat-Bulk, functional PBE. Values from VASP.

SG = Imma
E above lowest polymorph = 0 meV per atom

Quantum ESPRESSO input file:
```
&SYSTEM
  ibrav = 0, nat = 10, ntyp = 3
/
ATOMIC_SPECIES
Ba 137.33 Ba.upf
Zn 65.41 Zn.upf
Ir 192.22 Ir.upf
CELL_PARAMETERS angstrom
-3.363 4.840 3.559
3.363 -4.840 3.559
3.363 4.840 -3.559
ATOMIC_POSITIONS angstrom
Ba 0.000 2.420 0.543
Ba 3.363 2.420 3.016
Zn 3.363 2.420 -0.457
Zn 1.681 4.493 -1.780
Zn 1.681 -0.347 1.780
Zn -1.681 5.188 1.780
Zn 1.681 5.188 1.780
Zn 0.000 2.420 4.016
Ir 3.363 0.000 0.000
Ir 0.000 0.000 3.559
```

No. 5
A geometry-optimized BaZn3Ir structure. Source: OQMD via LeMat-Bulk, functional PBE. Values from VASP.

SG = Pm-3m
E above lowest polymorph = 11 meV per atom

Quantum ESPRESSO input file:
```
&SYSTEM
  ibrav = 0, nat = 5, ntyp = 3
/
ATOMIC_SPECIES
Ba 137.33 Ba.upf
Zn 65.41 Zn.upf
Ir 192.22 Ir.upf
CELL_PARAMETERS angstrom
4.915 0.000 0.000
0.000 4.915 0.000
0.000 0.000 4.915
ATOMIC_POSITIONS angstrom
Ba 0.000 0.000 0.000
Zn 0.000 2.458 2.458
Zn 2.458 0.000 2.458
Zn 2.458 2.458 0.000
Ir 2.458 2.458 2.458
```

No. 6
A geometry-optimized BaZn2Ir2 structure. Source: OQMD via LeMat-Bulk, functional PBE. Values from VASP.

SG = I4/mmm
E above lowest polymorph = 136 meV per atom

Quantum ESPRESSO input file:
```
&SYSTEM
  ibrav = 0, nat = 5, ntyp = 3
/
ATOMIC_SPECIES
Ba 137.33 Ba.upf
Zn 65.41 Zn.upf
Ir 192.22 Ir.upf
CELL_PARAMETERS angstrom
-2.120 2.120 5.562
2.120 -2.120 5.562
2.120 2.120 -5.562
ATOMIC_POSITIONS angstrom
Ba 0.000 0.000 0.000
Zn 0.000 0.000 4.217
Zn 0.000 0.000 6.906
Ir 2.120 0.000 2.781
Ir 0.000 2.120 2.781
```

No. 7
A geometry-optimized BaZn3Ir structure. Source: OQMD via LeMat-Bulk, functional PBE. Values from VASP.

SG = P4/nmm
E above lowest polymorph = 10 meV per atom

Quantum ESPRESSO input file:
```
&SYSTEM
  ibrav = 0, nat = 10, ntyp = 3
/
ATOMIC_SPECIES
Ba 137.33 Ba.upf
Zn 65.41 Zn.upf
Ir 192.22 Ir.upf
CELL_PARAMETERS angstrom
6.727 0.000 0.000
0.000 6.727 0.000
0.000 0.000 5.038
ATOMIC_POSITIONS angstrom
Ba 1.682 5.045 0.000
Ba 5.045 1.682 0.000
Zn 0.000 0.000 2.519
Zn 0.000 3.364 2.519
Zn 1.682 1.682 0.698
Zn 3.364 0.000 2.519
Zn 3.364 3.364 2.519
Zn 5.045 5.045 4.340
Ir 1.682 1.682 3.234
Ir 5.045 5.045 1.804
```

No. 8
A geometry-optimized BaZnIr structure. Source: OQMD via LeMat-Bulk, functional PBE. Values from VASP.

SG = F-43m
Uncorrected energy = -11.3 eV/cell

Quantum ESPRESSO input file:
```
&SYSTEM
  ibrav = 0, nat = 3, ntyp = 3
/
ATOMIC_SPECIES
Ba 137.33 Ba.upf
Zn 65.41 Zn.upf
Ir 192.22 Ir.upf
CELL_PARAMETERS angstrom
0.000 3.444 3.444
3.444 0.000 3.444
3.444 3.444 0.000
ATOMIC_POSITIONS angstrom
Ba 0.000 0.000 0.000
Zn 3.444 3.444 3.444
Ir 1.722 1.722 1.722
```

Q: Number 4 is which compound?
A: BaZn3Ir

Q: Number 5 is which compound?
A: BaZn3Ir